! TmHgPb (PBE-GGA, optimized geometry); values from VASP
&SYSTEM
  ibrav = 0, nat = 3, ntyp = 3
/
ATOMIC_SPECIES
Tm 168.93 Tm.upf
Hg 200.59 Hg.upf
Pb 207.20 Pb.upf
CELL_PARAMETERS angstrom
0.0000 3.5720 3.5720
3.5720 0.0000 3.5720
3.5720 3.5720 0.0000
ATOMIC_POSITIONS crystal
Tm 0.0000 0.0000 0.0000
Hg 0.7500 0.7500 0.7500
Pb 0.2500 0.2500 0.2500
! Symmetry: F-43m (216)
! E_tot, eV/atom: -2.9576